[1]
Computed, not measured: an optimized crystal structure of TlNiTe2I at the PBE level of DFT.

Calculated values
size of the total moment: 1.8 μB/f.u.
density of states at the Fermi level: 13.16 states/eV/f.u.
ΔE to the lowest computed polymorph: 494 kJ/mol of formula units
uncorrected formation energy: 1055.2 meV/atom

abc: 5.7885 5.7885 6.0660
angles: 90.00 90.00 90.00
With the nearest neighbours (Å) after each atom.
Space group P4/mmm (No. 123)
One atom of each set of equivalent atoms:
Tl (0.0000, 0.0000, 0.0000) [1 per cell]  4 Te 2.89, 2 I 3.03
Ni (0.5000, 0.5000, 0.5000) [1 per cell]  4 I 4.09, 8 Te 4.19
Te (0.0000, 0.5000, 0.0000) [2 per cell]  2 Tl 2.89
I (0.0000, 0.0000, 0.5000) [1 per cell]  2 Tl 3.03

***

[2]
Computed, not measured: an optimized crystal structure of CdTeAs2 at the PBE level of DFT.

Calculated values
size of the total moment: 0.0 μB/f.u.
density of states at the Fermi level: 1.21 states/eV/f.u.
ΔE to the lowest computed polymorph: 119 kJ/mol of formula units
uncorrected formation energy: 252.9 meV/atom

abc: 3.6033 5.1078 11.0502
angles: 90.00 90.00 90.00
With the nearest neighbours (Å) after each atom.
Space group Cmm2 (No. 35)
One atom of each set of equivalent atoms:
Cd (0.0000, 0.0000, 0.0000) [2 per cell]  4 Cd 3.13, 2 As 3.48
Te (0.0000, 0.5000, 0.7240) [2 per cell]  4 Te 3.13
As (0.0000, 0.0000, 0.4316) [2 per cell]  2 As 2.54
As (0.0000, 0.5000, 0.2700) [2 per cell]  2 As 2.54

***

[3]
Computed, not measured: an optimized crystal structure of NdTmIr2 at the PBE level of DFT.

Calculated values
size of the total moment: 0.0 μB/f.u.
density of states at the Fermi level: 1.69 states/eV/f.u.
ΔE to the lowest computed polymorph: 0 kJ/mol of formula units

abc: 3.3729 3.3729 7.2872
angles: 90.00 90.00 90.00
With the nearest neighbours (Å) after each atom.
Space group P4/mmm (No. 123)
One atom of each set of equivalent atoms:
Nd (0.0000, 0.0000, 0.0000) [1 per cell]  8 Ir 3.08, 4 Nd 3.37
Tm (0.0000, 0.0000, 0.5000) [1 per cell]  8 Ir 2.93
Ir (0.5000, 0.5000, 0.2671) [2 per cell]  4 Tm 2.93, 4 Nd 3.08

***

[4]
Computed, not measured: an optimized crystal structure of LaReF2 at the PBE level of DFT.

Calculated values
size of the total moment: 0.0 μB/f.u.
density of states at the Fermi level: 3.60 states/eV/f.u.
ΔE to the lowest computed polymorph: 0 kJ/mol of formula units
uncorrected formation energy: -1188.3 meV/atom

abc: 3.0264 3.0264 23.7490
angles: 90.00 90.00 120.00
With the nearest neighbours (Å) after each atom.
Space group R-3m (No. 166, hexagonal axes)
One atom of each set of equivalent atoms:
La (0.0000, 0.0000, 0.0000) [3 per cell]  6 F 2.54
Re (0.0000, 0.0000, 0.5000) [3 per cell]  2 F 2.12
F (0.0000, 0.0000, 0.4109) [6 per cell]  1 Re 2.12

***

[5]
Computed, not measured: an optimized crystal structure of InSeI at the PBE level of DFT.

Calculated values
size of the total moment: 0.0 μB/f.u.
uncorrected formation energy: -536.1 meV/atom

abc: 19.4176 19.4176 10.3711
angles: 90.00 90.00 90.00
With the nearest neighbours (Å) after each atom.
Space group I4_1/a (No. 88, origin choice 2)
One atom of each set of equivalent atoms:
In (0.1429, 0.4670, 0.4938) [16 per cell]  3 Se 2.65-2.70, 1 I 2.71
In (0.1529, 0.0510, 0.1289) [16 per cell]  3 Se 2.65-2.68, 1 I 2.71
Se (0.1299, 0.0019, 0.7536) [16 per cell]  3 In 2.65-2.68
Se (0.1645, 0.4151, 0.8728) [16 per cell]  3 In 2.65-2.70
I (0.0304, 0.3967, 0.5760) [16 per cell]  1 In 2.71
I (0.0316, 0.1053, 0.0495) [16 per cell]  1 In 2.71

***

[6]
Computed, not measured: an optimized crystal structure of Zn2IrSe at the PBE level of DFT.

Calculated values
size of the total moment: 0.0 μB/f.u.
density of states at the Fermi level: 1.96 states/eV/f.u.
uncorrected formation energy: 54.5 meV/atom

abc: 5.4737 7.5627 3.0166
angles: 90.00 90.00 90.00
With the nearest neighbours (Å) after each atom.
Space group Cmmm (No. 65)
One atom of each set of equivalent atoms:
Zn (0.2500, 0.2500, 0.0000) [4 per cell]  4 Zn 2.74-3.02, 4 Se 2.78, 4 Ir 2.78
Ir (0.0000, 0.0000, 0.5000) [2 per cell]  2 Se 2.74, 8 Zn 2.78, 2 Ir 3.02
Se (0.0000, 0.5000, 0.5000) [2 per cell]  2 Ir 2.74, 8 Zn 2.78, 2 Se 3.02

***

[7]
Computed, not measured: an optimized crystal structure of BeP2O2 at the PBE level of DFT.

Calculated values
size of the total moment: 0.5 μB/f.u.
density of states at the Fermi level: 3.37 states/eV/f.u.
ΔE to the lowest computed polymorph: 73 kJ/mol of formula units
uncorrected formation energy: -274.5 meV/atom

abc: 3.2052 3.2052 7.2118
angles: 90.00 90.00 90.00
With the nearest neighbours (Å) after each atom.
Space group P4/mmm (No. 123)
One atom of each set of equivalent atoms:
Be (0.0000, 0.0000, 0.0000) [1 per cell]  4 O 1.60
P (0.0000, 0.0000, 0.5000) [1 per cell]  4 P 2.27
P (0.5000, 0.5000, 0.5000) [1 per cell]  4 P 2.27
O (0.0000, 0.5000, 0.0000) [2 per cell]  2 Be 1.60

***

[8]
Computed, not measured: an optimized crystal structure of Ce2ThSe4 at the PBE level of DFT.

Calculated values
size of the total moment: 2.7 μB/f.u.
density of states at the Fermi level: 14.90 states/eV/f.u.
ΔE to the lowest computed polymorph: 39 kJ/mol of formula units
uncorrected formation energy: -1697.2 meV/atom

abc: 4.0887 13.9406 14.0024
angles: 90.00 90.00 90.00
With the nearest neighbours (Å) after each atom.
Space group Cmcm (No. 63)
One atom of each set of equivalent atoms:
Ce (0.0000, 0.1353, 0.0670) [8 per cell]  6 Se 2.94-2.99
Th (0.0000, 0.3751, 0.2500) [4 per cell]  6 Se 2.96-3.00
Se (0.0000, 0.0282, 0.2500) [4 per cell]  2 Th 2.96, 2 Ce 2.97
Se (0.0000, 0.2228, 0.6277) [8 per cell]  3 Ce 2.97-2.99, 2 Th 3.00
Se (0.0000, 0.5000, 0.0000) [4 per cell]  4 Ce 2.94

***

[9]
Computed, not measured: an optimized crystal structure of CrCo2Ge4 at the PBE level of DFT.

Calculated values
final energy: -5.6335 eV per atom
size of the total moment: 1.9 μB/f.u.
density of states at the Fermi level: 4.67 states/eV/f.u.

abc: 4.5476 4.5476 11.6354
angles: 90.00 90.00 90.00
With the nearest neighbours (Å) after each atom.
Space group I4/mmm (No. 139)
One atom of each set of equivalent atoms:
Cr (0.0000, 0.0000, 0.0000) [2 per cell]  6 Ge 2.27-2.36
Co (0.0000, 0.0000, 0.3974) [4 per cell]  1 Ge 2.26, 1 Co 2.39
Ge (0.0000, 0.0000, 0.2032) [4 per cell]  1 Co 2.26, 1 Cr 2.36
Ge (0.0000, 0.5000, 0.0000) [4 per cell]  2 Cr 2.27

***

[10]
Computed, not measured: an optimized crystal structure of Rb2Al3PbF12 at the PBE level of DFT.

Calculated values
size of the total moment: 1.1 μB/f.u.
density of states at the Fermi level: 1.65 states/eV/f.u.
uncorrected formation energy: -3104.9 meV/atom

abc: 7.1991 7.1991 18.3410
angles: 90.00 90.00 120.00
With the nearest neighbours (Å) after each atom.
Space group R-3m (No. 166, hexagonal axes)
One atom of each set of equivalent atoms:
Rb (0.0000, 0.0000, 0.1189) [6 per cell]  3 F 2.83
Al (0.0000, 0.5000, 0.0000) [9 per cell]  6 F 1.79-1.88
Pb (0.0000, 0.0000, 0.5000) [3 per cell]  6 F 2.66
F (0.0405, 0.5203, 0.9034) [18 per cell]  1 Al 1.79
F (0.0800, 0.5400, 0.3252) [18 per cell]  2 Al 1.88

***

[11]
Computed, not measured: an optimized crystal structure of TbSi2IrRh at the PBE level of DFT.

Calculated values
size of the total moment: 0.0 μB/f.u.
density of states at the Fermi level: 2.68 states/eV/f.u.
uncorrected formation energy: -1107.9 meV/atom

abc: 4.0747 4.0747 10.0122
angles: 90.00 90.00 90.00
With the nearest neighbours (Å) after each atom.
Space group I-4m2 (No. 119)
One atom of each set of equivalent atoms:
Tb (0.0000, 0.0000, 0.0000) [2 per cell]  8 Si 3.13, 4 Ir 3.23, 4 Rh 3.23
Si (0.0000, 0.0000, 0.3784) [4 per cell]  2 Rh 2.41, 2 Ir 2.41, 1 Si 2.43
Ir (0.0000, 0.5000, 0.7500) [2 per cell]  4 Si 2.41
Rh (0.0000, 0.5000, 0.2500) [2 per cell]  4 Si 2.41

***

[12]
Computed, not measured: an optimized crystal structure of Rb2Hg4Au at the PBE level of DFT.

Calculated values
size of the total moment: 0.0 μB/f.u.
density of states at the Fermi level: 5.15 states/eV/f.u.
ΔE to the lowest computed polymorph: 43 kJ/mol of formula units

abc: 5.4695 5.4695 18.5303
angles: 90.00 90.00 90.00
With the nearest neighbours (Å) after each atom.
Space group I4/mmm (No. 139)
One atom of each set of equivalent atoms:
Rb (0.0000, 0.0000, 0.1430) [4 per cell]  9 Hg 3.67-3.88
Hg (0.0000, 0.0000, 0.3412) [4 per cell]  1 Au 2.94
Hg (0.0000, 0.5000, 0.0000) [4 per cell]  2 Au 2.73
Au (0.0000, 0.0000, 0.5000) [2 per cell]  6 Hg 2.73-2.94